(1)
{
  "formula": "K4Rb2Ga",
  "functional": "PBE",
  "state": "relaxed",
  "mass_density_g_cm3": 1.3,
  "delta_e_f_ev_per_atom": 0.1098,
  "total_magnetization_mub_per_atom": 0.0000,
  "lattice": [[6.749, 0.000, 0.000], [0.000, 6.749, 0.000], [-3.375, -3.375, 11.111]],
  "species": ["Rb", "Rb", "K", "K", "K", "K", "Ga"],
  "frac_coords": [[0.642, 0.642, 0.285], [0.358, 0.358, 0.715], [0.155, 0.155, 0.311], [0.000, 0.500, 0.000], [0.845, 0.845, 0.689], [0.500, 0.000, 0.000], [0.000, 0.000, 0.000]]
}

---

(2)
{
  "formula": "Th3Tl3AgTe8",
  "functional": "PBE",
  "state": "relaxed",
  "mass_density_g_cm3": 7.0,
  "raw_formation_energy_ev_per_atom": -0.78,
  "total_magnetization_mub_per_atom": 0.0000,
  "lattice": [[-4.996, 0.293, 7.469], [-2.462, -5.272, -6.848], [7.705, -2.782, 5.261]],
  "species": ["Tl", "Tl", "Tl", "Th", "Th", "Th", "Te", "Te", "Te", "Te", "Te", "Te", "Te", "Te", "Ag"],
  "frac_coords": [[0.500, 0.500, 0.000], [0.000, 0.500, 0.000], [0.000, 0.000, 0.000], [0.500, 0.500, 0.500], [0.500, 0.000, 0.500], [0.000, 0.500, 0.500], [0.258, 0.517, 0.275], [0.267, 0.027, 0.287], [0.239, 0.478, 0.712], [0.761, 0.522, 0.288], [0.760, 0.027, 0.287], [0.240, 0.973, 0.713], [0.733, 0.973, 0.713], [0.742, 0.483, 0.725], [0.000, 0.000, 0.500]]
}